[1]
{
  "formula": "AcTl7O12",
  "functional": "PBE-GGA",
  "state": "relaxed",
  "dos_ef_per_ev_cell": 6.95,
  "rho_g_cm3": 9.99,
  "sg": "Im-3 (204)",
  "e_form_raw_ev_per_atom": -0.923,
  "lattice_angstrom": [[-4.252, 4.252, 4.252], [4.252, -4.252, 4.252], [4.252, 4.252, -4.252]],
  "species": ["Ac", "Tl", "Tl", "Tl", "Tl", "Tl", "Tl", "Tl", "O", "O", "O", "O", "O", "O", "O", "O", "O", "O", "O", "O"],
  "fractional_positions": [[0.000, 0.000, 0.000], [0.000, 0.000, 0.500], [0.000, 0.500, 0.000], [0.000, 0.500, 0.500], [0.500, 0.000, 0.000], [0.500, 0.000, 0.500], [0.500, 0.500, 0.000], [0.500, 0.500, 0.500], [0.130, 0.299, 0.832], [0.168, 0.467, 0.299], [0.168, 0.870, 0.701], [0.299, 0.168, 0.467], [0.299, 0.832, 0.130], [0.467, 0.299, 0.168], [0.533, 0.701, 0.832], [0.701, 0.168, 0.870], [0.701, 0.832, 0.533], [0.832, 0.130, 0.299], [0.832, 0.533, 0.701], [0.870, 0.701, 0.168]]
}

=====

[2]
{
  "formula": "K3Hg5F12",
  "functional": "PBE-GGA",
  "state": "relaxed",
  "dos_ef_per_ev_cell": 5.54,
  "rho_g_cm3": 5.65,
  "sg": "Ia-3d (230)",
  "e_form_raw_ev_per_atom": -1.780,
  "lattice_angstrom": [[-7.347, 7.347, 7.347], [7.347, -7.347, 7.347], [7.347, 7.347, -7.347]],
  "species": ["K", "K", "K", "K", "K", "K", "K", "K", "K", "K", "K", "K", "Hg", "Hg", "Hg", "Hg", "Hg", "Hg", "Hg", "Hg", "Hg", "Hg", "Hg", "Hg", "Hg", "Hg", "Hg", "Hg", "Hg", "Hg", "Hg", "Hg", "F", "F", "F", "F", "F", "F", "F", "F", "F", "F", "F", "F", "F", "F", "F", "F", "F", "F", "F", "F", "F", "F", "F", "F", "F", "F", "F", "F", "F", "F", "F", "F", "F", "F", "F", "F", "F", "F", "F", "F", "F", "F", "F", "F", "F", "F", "F", "F"],
  "fractional_positions": [[0.125, 0.250, 0.375], [0.125, 0.375, 0.750], [0.250, 0.375, 0.125], [0.250, 0.875, 0.625], [0.375, 0.125, 0.250], [0.375, 0.750, 0.125], [0.625, 0.250, 0.875], [0.625, 0.875, 0.750], [0.750, 0.125, 0.375], [0.750, 0.625, 0.875], [0.875, 0.625, 0.250], [0.875, 0.750, 0.625], [0.000, 0.000, 0.000], [0.000, 0.000, 0.500], [0.000, 0.500, 0.000], [0.000, 0.500, 0.500], [0.125, 0.750, 0.875], [0.125, 0.875, 0.250], [0.250, 0.125, 0.875], [0.250, 0.625, 0.375], [0.375, 0.250, 0.625], [0.375, 0.625, 0.750], [0.500, 0.000, 0.000], [0.500, 0.000, 0.500], [0.500, 0.500, 0.000], [0.500, 0.500, 0.500], [0.625, 0.375, 0.250], [0.625, 0.750, 0.375], [0.750, 0.375, 0.625], [0.750, 0.875, 0.125], [0.875, 0.125, 0.750], [0.875, 0.250, 0.125], [0.033, 0.206, 0.125], [0.033, 0.327, 0.908], [0.081, 0.706, 0.673], [0.081, 0.875, 0.408], [0.092, 0.625, 0.419], [0.092, 0.967, 0.673], [0.125, 0.033, 0.206], [0.125, 0.592, 0.919], [0.173, 0.206, 0.581], [0.173, 0.467, 0.592], [0.206, 0.125, 0.033], [0.206, 0.581, 0.173], [0.294, 0.327, 0.919], [0.294, 0.467, 0.375], [0.327, 0.908, 0.033], [0.327, 0.919, 0.294], [0.375, 0.294, 0.467], [0.375, 0.581, 0.908], [0.408, 0.081, 0.875], [0.408, 0.827, 0.533], [0.419, 0.092, 0.625], [0.419, 0.827, 0.794], [0.467, 0.375, 0.294], [0.467, 0.592, 0.173], [0.533, 0.408, 0.827], [0.533, 0.625, 0.706], [0.581, 0.173, 0.206], [0.581, 0.908, 0.375], [0.592, 0.173, 0.467], [0.592, 0.919, 0.125], [0.625, 0.419, 0.092], [0.625, 0.706, 0.533], [0.673, 0.081, 0.706], [0.673, 0.092, 0.967], [0.706, 0.533, 0.625], [0.706, 0.673, 0.081], [0.794, 0.419, 0.827], [0.794, 0.875, 0.967], [0.827, 0.533, 0.408], [0.827, 0.794, 0.419], [0.875, 0.408, 0.081], [0.875, 0.967, 0.794], [0.908, 0.033, 0.327], [0.908, 0.375, 0.581], [0.919, 0.125, 0.592], [0.919, 0.294, 0.327], [0.967, 0.673, 0.092], [0.967, 0.794, 0.875]]
}